# 1
Compound: Nd2Si2I
Source: Alexandria
Functional: PBE
Structure: optimized geometry

The structure in CIF format:
```
data_Nd2Si2I
_symmetry_space_group_name_H-M 'P 1'
_symmetry_Int_Tables_number 1
_symmetry_space_group_name_Hall 'P 1'
_cell_length_a 3.926
_cell_length_b 8.208
_cell_length_c 9.877
_cell_angle_alpha 114.60
_cell_angle_beta 101.46
_cell_angle_gamma 90.00
loop_
_atom_site_label
_atom_site_fract_x
_atom_site_fract_y
_atom_site_fract_z
_atom_site_occupancy
Nd1 0.347 0.848 0.695 1
Nd2 0.653 0.652 0.305 1
Nd3 0.653 0.152 0.305 1
Nd4 0.347 0.348 0.695 1
I1 0.509 0.750 0.000 1
I2 0.491 0.250 0.000 1
Si1 0.791 0.541 0.582 1
Si2 0.209 0.459 0.418 1
Si3 0.791 0.041 0.582 1
Si4 0.209 0.959 0.418 1
```

**ΔE_f (raw)**: -20.41 kcal/mol of atoms
**Symmetry**: C2/c, No. 15

=====

# 2
Compound: ReRh
Source: Alexandria
Functional: PBE
Structure: optimized geometry

The structure in CIF format:
```
data_ReRh
_symmetry_space_group_name_H-M 'P 1'
_symmetry_Int_Tables_number 1
_symmetry_space_group_name_Hall 'P 1'
_cell_length_a 9.941
_cell_length_b 9.941
_cell_length_c 9.941
_cell_angle_alpha 164.09
_cell_angle_beta 153.71
_cell_angle_gamma 30.88
loop_
_atom_site_label
_atom_site_fract_x
_atom_site_fract_y
_atom_site_fract_z
_atom_site_occupancy
Re1 0.440 0.190 0.250 1
Re2 0.173 0.923 0.250 1
Re3 0.560 0.810 0.750 1
Re4 0.827 0.077 0.750 1
Rh1 0.061 0.311 0.750 1
Rh2 0.939 0.689 0.250 1
Rh3 0.705 0.455 0.250 1
Rh4 0.295 0.545 0.750 1
```

**Energy above the lowest structure with this stoichiometry**: 0.71 eV/f.u.
**Calculated formation energy**: 176 meV/atom
**Symmetry**: Imma, No. 74

=====

# 3
Compound: Na2YCd6
Source: Alexandria
Functional: PBE
Structure: optimized geometry

The structure in CIF format:
```
data_Na2YCd6
_symmetry_space_group_name_H-M 'P 1'
_symmetry_Int_Tables_number 1
_symmetry_space_group_name_Hall 'P 1'
_cell_length_a 3.337
_cell_length_b 8.769
_cell_length_c 8.769
_cell_angle_alpha 60.00
_cell_angle_beta 90.03
_cell_angle_gamma 90.03
loop_
_atom_site_label
_atom_site_fract_x
_atom_site_fract_y
_atom_site_fract_z
_atom_site_occupancy
Cd1 0.500 0.665 0.335 1
Cd2 0.499 0.000 0.665 1
Cd3 0.501 0.335 0.000 1
Cd4 0.499 0.665 0.000 1
Cd5 0.500 0.335 0.665 1
Cd6 0.501 0.000 0.335 1
Na1 0.000 0.667 0.667 1
Na2 0.000 0.333 0.333 1
Y1 0.000 0.000 0.000 1
```

**Calculated formation energy**: -175 meV/atom
**Symmetry**: P6/mmm, No. 191

=====

Number 1: E -52.7 eV for the cell shown, size of the total moment 0.00 μB/cell. Number 2: E -77.8 eV for the cell shown, size of the total moment 0.00 μB/cell. Number 3: E -16.2 eV for the cell shown, size of the total moment 0.00 μB/cell.